# Na4Ge2PdPt

Na4Ge2PdPt after structural relaxation (PBE-GGA, OQMD via LeMat-Bulk).

Its volume is 18.31 Å³/atom. For the magnetic moment, the calculation gives 0.0 μB per formula unit. The value obtained for the total energy is -3.36 eV per atom. Its density is 6.108 g cm⁻³.

It has space group P-4m2 (No. 115), with a = 4.7008 Å, b = 4.7008 Å, c = 6.6279 Å, α = 90.00°, β = 90.00° and γ = 90.00°. The distinct sites, in fractional coordinates, are Na at (0.0000, 0.0000, 0.0000), Na at (0.0000, 0.5000, 0.7481), Na at (0.5000, 0.5000, 0.5000), Ge at (0.0000, 0.5000, 0.2430), Pd at (0.0000, 0.0000, 0.5000) and Pt at (0.5000, 0.5000, 0.0000).